(1)
Density functional theory data (PBEsol) for ReRh7 after structural relaxation.

a = 3.7883 Å, b = 3.7883 Å, c = 8.0300 Å
α = 103.64°, β = 103.64°, γ = 90.00°
Last column: nearest neighbours and their distance in Å.
Positions (direct):
1 Rh 0.7460 0.7460 0.4921  12 Rh 2.66-2.74
2 Rh 0.5000 0.5000 0.0000  8 Rh 2.65, 4 Re 2.68
3 Rh 0.6228 0.1228 0.2456  2 Re 2.65, 10 Rh 2.65-2.74
4 Rh 0.1228 0.6228 0.2456  2 Re 2.65, 10 Rh 2.65-2.74
5 Rh 0.2540 0.2540 0.5079  12 Rh 2.66-2.74
6 Rh 0.8772 0.3772 0.7544  10 Rh 2.65-2.74, 2 Re 2.65
7 Rh 0.3772 0.8772 0.7544  2 Re 2.65, 10 Rh 2.65-2.74
8 Re 0.0000 0.0000 0.0000  12 Rh 2.65-2.68

Uncorrected energy, eV per atom: -8.85
DOS(E_F), states/eV/f.u.: 8.04
Energy above the lowest structure with this stoichiometry, meV/atom: 12
Space group: I4/mmm
Spin magnetization, μB per formula unit: 0.00
Energy of formation from the pure elements, eV/f.u.: -0.47
V, A^3/atom: 13.58



(2)
Density functional theory data (PBEsol) for Mg2Ge2Pt after structural relaxation.

a = 4.3838 Å, b = 6.3742 Å, c = 6.3742 Å
α = 90.00°, β = 90.00°, γ = 90.00°
Last column: nearest neighbours and their distance in Å.
Positions (direct):
1 Mg 0.5000 0.6756 0.8244  6 Ge 2.77-2.97
2 Mg 0.5000 0.8244 0.3244  6 Ge 2.77-2.97
3 Mg 0.5000 0.3244 0.1756  6 Ge 2.77-2.97
4 Mg 0.5000 0.1756 0.6756  6 Ge 2.77-2.97
5 Ge 0.0000 0.6368 0.1368  1 Ge 2.47, 2 Pt 2.47
6 Ge 0.0000 0.3632 0.8632  1 Ge 2.47, 2 Pt 2.47
7 Ge 0.0000 0.8632 0.6368  1 Ge 2.47, 2 Pt 2.47
8 Ge 0.0000 0.1368 0.3632  1 Ge 2.47, 2 Pt 2.47
9 Pt 0.0000 0.0000 0.0000  4 Ge 2.47
10 Pt 0.0000 0.5000 0.5000  4 Ge 2.47

Uncorrected energy, eV per atom: -4.48
DOS(E_F), states/eV/f.u.: 1.57
Space group: P4/mbm
Spin magnetization, μB per formula unit: 0.00
Energy of formation from the pure elements, eV/f.u.: -2.12
V, A^3/atom: 17.81



(3)
Density functional theory data (PBEsol) for Tl3Cd after structural relaxation.

a = 3.5132 Å, b = 3.6304 Å, c = 8.3332 Å
α = 90.00°, β = 90.00°, γ = 90.00°
Last column: nearest neighbours and their distance in Å.
Positions (direct):
1 Tl 0.0000 0.0000 0.5000  12 Tl 3.38-3.63
2 Tl 0.5000 0.5000 0.2310  4 Cd 3.18, 6 Tl 3.38-3.51
3 Tl 0.5000 0.5000 0.7690  4 Cd 3.18, 6 Tl 3.38-3.51
4 Cd 0.0000 0.0000 0.0000  8 Tl 3.18, 2 Cd 3.51

Uncorrected energy, eV per atom: -2.23
DOS(E_F), states/eV/f.u.: 1.89
Space group: Pmmm
Spin magnetization, μB per formula unit: 0.00
Energy of formation from the pure elements, eV/f.u.: 0.15
V, A^3/atom: 26.57



(4)
Density functional theory data (PBEsol) for ZnFeP2 after structural relaxation.

a = 3.2013 Å, b = 3.9727 Å, c = 3.9781 Å
α = 90.00°, β = 90.00°, γ = 90.00°
Last column: nearest neighbours and their distance in Å.
Positions (direct):
1 Zn 0.5000 0.5000 0.0000  8 P 2.55, 4 Fe 2.81
2 Fe 0.5000 0.0000 0.5000  8 P 2.55, 4 Zn 2.81
3 P 0.0000 0.0000 0.0000  4 Zn 2.55, 4 Fe 2.55, 4 P 2.81
4 P 0.0000 0.5000 0.5000  4 Fe 2.55, 4 Zn 2.55, 4 P 2.81

Uncorrected energy, eV per atom: -5.26
DOS(E_F), states/eV/f.u.: 2.66
Space group: P4/mmm
Spin magnetization, μB per formula unit: 1.44
Energy of formation from the pure elements, eV/f.u.: 1.08
V, A^3/atom: 12.65



(5)
Density functional theory data (PBEsol) for La3CoSe after structural relaxation.

a = 5.1709 Å, b = 5.1709 Å, c = 5.1709 Å
α = 90.00°, β = 90.00°, γ = 90.00°
Last column: nearest neighbours and their distance in Å.
Positions (direct):
1 Se 0.5000 0.5000 0.5000  12 La 3.66
2 Co 0.0000 0.0000 0.0000  6 La 2.59
3 La 0.5000 0.0000 0.0000  2 Co 2.59
4 La 0.0000 0.5000 0.0000  2 Co 2.59
5 La 0.0000 0.0000 0.5000  2 Co 2.59

Uncorrected energy, eV per atom: -5.98
DOS(E_F), states/eV/f.u.: 4.78
Space group: Pm-3m
Raw formation energy, eV/atom: -0.453
Spin magnetization, μB per formula unit: 0.00
V, A^3/atom: 27.65



(6)
Density functional theory data (PBEsol) for MnOsPt2 after structural relaxation.

a = 3.8246 Å, b = 3.8246 Å, c = 4.6650 Å
α = 114.20°, β = 114.20°, γ = 90.00°
Last column: nearest neighbours and their distance in Å.
Positions (direct):
1 Pt 0.7500 0.2500 0.5000  4 Pt 2.70, 4 Mn 2.70, 4 Os 2.70
2 Pt 0.0000 0.0000 0.0000  4 Os 2.70, 4 Pt 2.70, 4 Mn 2.70
3 Os 0.2500 0.7500 0.5000  4 Mn 2.70, 8 Pt 2.70
4 Mn 0.5000 0.5000 0.0000  4 Os 2.70, 8 Pt 2.70

Uncorrected energy, eV per atom: -8.98
DOS(E_F), states/eV/f.u.: 3.75
Space group: I-4m2
Spin magnetization, μB per formula unit: 2.21
Energy of formation from the pure elements, eV/f.u.: -0.03
V, A^3/atom: 13.90



(7)
Density functional theory data (PBEsol) for ScTl after structural relaxation.

a = 4.6039 Å, b = 4.6039 Å, c = 4.6039 Å
α = 60.00°, β = 60.00°, γ = 60.00°
Last column: nearest neighbours and their distance in Å.
Positions (direct):
1 Tl 0.2500 0.2500 0.2500  4 Sc 2.82
2 Sc 0.0000 0.0000 0.0000  4 Tl 2.82

Uncorrected energy, eV per atom: -3.86
DOS(E_F), states/eV/f.u.: 3.88
Space group: F-43m
Spin magnetization, μB per formula unit: 0.96
Energy of formation from the pure elements, eV/f.u.: 1.52
V, A^3/atom: 34.50



(8)
Density functional theory data (PBEsol) for SnPCl2O after structural relaxation.

a = 4.1347 Å, b = 4.6079 Å, c = 4.6079 Å
α = 90.00°, β = 90.00°, γ = 90.00°
Last column: nearest neighbours and their distance in Å.
Positions (direct):
1 Sn 0.5000 0.5000 0.5000  8 Cl 3.10, 4 P 3.26
2 P 0.5000 0.0000 0.0000  2 O 2.07
3 Cl 0.0000 0.0000 0.5000  2 O 2.30
4 Cl 0.0000 0.5000 0.0000  2 O 2.30
5 O 0.0000 0.0000 0.0000  2 P 2.07, 4 Cl 2.30

Uncorrected energy, eV per atom: -3.62
DOS(E_F), states/eV/f.u.: 3.19
Space group: P4/mmm
Raw formation energy, eV/atom: 0.241
Spin magnetization, μB per formula unit: 0.00
V, A^3/atom: 17.56



(9)
Density functional theory data (PBEsol) for CdReN2 after structural relaxation.

a = 2.9091 Å, b = 2.9091 Å, c = 7.0649 Å
α = 78.12°, β = 78.12°, γ = 60.00°
Last column: nearest neighbours and their distance in Å.
Positions (direct):
1 Re 0.5000 0.5000 0.5000  6 N 2.06
2 N 0.8912 0.8912 0.3265  3 Re 2.06, 1 Cd 2.24
3 N 0.1088 0.1088 0.6735  3 Re 2.06, 1 Cd 2.24
4 Cd 0.0000 0.0000 0.0000  2 N 2.24

Uncorrected energy, eV per atom: -7.71
DOS(E_F), states/eV/f.u.: 2.40
Space group: R-3m
Raw formation energy, eV/atom: 0.185
Spin magnetization, μB per formula unit: 0.00
V, A^3/atom: 12.57



(10)
Density functional theory data (PBEsol) for Y2Hf2Al after structural relaxation.

a = 3.9525 Å, b = 3.9525 Å, c = 8.7722 Å
α = 103.02°, β = 103.02°, γ = 90.00°
Last column: nearest neighbours and their distance in Å.
Positions (direct):
1 Al 0.0000 0.0000 0.0000  8 Y 3.20
2 Y 0.4061 0.4061 0.8122  1 Y 3.12, 4 Al 3.20, 4 Hf 3.26
3 Y 0.5939 0.5939 0.1878  1 Y 3.12, 4 Al 3.20, 4 Hf 3.26
4 Hf 0.7500 0.2500 0.5000  4 Hf 2.79
5 Hf 0.2500 0.7500 0.5000  4 Hf 2.79

Uncorrected energy, eV per atom: -7.35
DOS(E_F), states/eV/f.u.: 3.92
Space group: I4/mmm
Spin magnetization, μB per formula unit: 0.00
Energy of formation from the pure elements, eV/f.u.: 2.01
V, A^3/atom: 25.98



(11)
Density functional theory data (PBEsol) for Mg2ZnAu2 after structural relaxation.

a = 3.6882 Å, b = 7.0106 Å, c = 7.0106 Å
α = 90.00°, β = 90.00°, γ = 90.00°
Last column: nearest neighbours and their distance in Å.
Positions (direct):
1 Zn 0.0000 0.0000 0.0000  4 Au 2.69
2 Zn 0.0000 0.5000 0.5000  4 Au 2.69
3 Mg 0.5000 0.3429 0.1571  6 Au 2.69-2.81
4 Mg 0.5000 0.6571 0.8429  6 Au 2.69-2.81
5 Mg 0.5000 0.8429 0.3429  6 Au 2.69-2.81
6 Mg 0.5000 0.1571 0.6571  6 Au 2.69-2.81
7 Au 0.0000 0.8546 0.6454  2 Zn 2.69, 6 Mg 2.69-2.81, 1 Au 2.88
8 Au 0.0000 0.3546 0.8546  2 Zn 2.69, 6 Mg 2.69-2.81, 1 Au 2.88
9 Au 0.0000 0.6454 0.1454  2 Zn 2.69, 6 Mg 2.69-2.81, 1 Au 2.88
10 Au 0.0000 0.1454 0.3546  2 Zn 2.69, 6 Mg 2.69-2.81, 1 Au 2.88

Uncorrected energy, eV per atom: -2.99
DOS(E_F), states/eV/f.u.: 1.56
Space group: P4/mbm
Spin magnetization, μB per formula unit: 0.00
Energy of formation from the pure elements, eV/f.u.: -2.09
V, A^3/atom: 18.13



(12)
Density functional theory data (PBEsol) for ScCd2Sb after structural relaxation.

a = 3.8203 Å, b = 3.8181 Å, c = 6.1655 Å
α = 90.00°, β = 90.00°, γ = 90.00°
Last column: nearest neighbours and their distance in Å.
Positions (direct):
1 Sc 0.5000 0.5000 0.7259  4 Sb 2.95, 6 Cd 3.08-3.24
2 Sb 0.0000 0.0000 0.5315  4 Sc 2.95, 6 Cd 2.99-3.29
3 Cd 0.5000 0.5000 0.2262  4 Cd 2.99, 2 Sc 3.08, 4 Sb 3.29
4 Cd 0.0000 0.0000 0.0164  2 Sb 2.99-3.18, 4 Cd 2.99, 4 Sc 3.24

Uncorrected energy, eV per atom: -3.69
DOS(E_F), states/eV/f.u.: 2.56
Space group: P4mm
Raw formation energy, eV/atom: -0.304
Spin magnetization, μB per formula unit: 0.00
V, A^3/atom: 22.48



Question: Which value of spin magnetization does entry 5 give?
Answer: 0.00 μB per formula unit



Question: Look up the V of the seventh one.
Answer: 34.50 A^3/atom